# GdZnSi (GGA-PBEsol, relaxed)
data_GdZnSi
_chemical_formula_sum 'Gd1 Zn1 Si1'
_symmetry_space_group_name_H-M 'P -6 m 2'
_symmetry_Int_Tables_number 187
_symmetry_space_group_name_Hall 'P -6 2'
_cell_length_a 4.0845
_cell_length_b 4.0845
_cell_length_c 4.0235
_cell_angle_alpha 90.00
_cell_angle_beta 90.00
_cell_angle_gamma 120.00
loop_
_atom_site_label
_atom_site_fract_x
_atom_site_fract_y
_atom_site_fract_z
Gd1 0.0000 0.0000 0.0000
Zn1 0.3333 0.6667 0.5000
Si1 0.6667 0.3333 0.5000
# E_form (uncorrected) in eV per atom: -0.6760
# Calculated total energy in eV per atom: -7.935